# GGA-PBE Pm3HgAs2, optimized geometry
# Formation enthalpy at 0 K, eV/atom: -0.800
# Spin magnetization, μB/f.u.: 0.00
# Uncorrected energy, eV per cell: -114.6
data_Pm3HgAs2
_cell_length_a 5.0687
_cell_length_b 12.9659
_cell_length_c 10.5192
_cell_angle_alpha 90.00
_cell_angle_beta 90.00
_cell_angle_gamma 90.00
_space_group_name_H-M_alt 'C m c m'
_space_group_IT_number 63
_space_group_name_Hall '-C 2c 2'
loop_
_atom_site_label
_atom_site_fract_x
_atom_site_fract_y
_atom_site_fract_z
Pm1 0.0000 0.1006 0.2500
Pm2 0.0000 0.3703 0.0484
Hg1 0.0000 0.2291 0.7500
As1 0.0000 0.0000 0.0000
As2 0.0000 0.4855 0.7500


# GGA-PBE PmHg2As, optimized geometry
# Formation enthalpy at 0 K, eV/atom: -0.576
# Spin magnetization, μB/f.u.: 0.00
# Uncorrected energy, eV per cell: -12.3
data_PmHg2As
_cell_length_a 4.2865
_cell_length_b 4.2865
_cell_length_c 5.3355
_cell_angle_alpha 90.00
_cell_angle_beta 90.00
_cell_angle_gamma 90.00
_space_group_name_H-M_alt 'P 4/m m m'
_space_group_IT_number 123
_space_group_name_Hall '-P 4 2'
loop_
_atom_site_label
_atom_site_fract_x
_atom_site_fract_y
_atom_site_fract_z
Pm1 0.0000 0.0000 0.0000
Hg1 0.0000 0.5000 0.5000
As1 0.5000 0.5000 0.0000


# GGA-PBE Pm2HgAs3Rh4, optimized geometry
# Formation enthalpy at 0 K, eV/atom: -0.756
# Spin magnetization, μB/f.u.: 0.00
# Uncorrected energy, eV per cell: -60.7
data_Pm2HgAs3Rh4
_cell_length_a 4.1325
_cell_length_b 4.1325
_cell_length_c 11.1514
_cell_angle_alpha 90.00
_cell_angle_beta 90.00
_cell_angle_gamma 90.00
_space_group_name_H-M_alt 'P -4 m 2'
_space_group_IT_number 115
_space_group_name_Hall 'P -4 -2'
loop_
_atom_site_label
_atom_site_fract_x
_atom_site_fract_y
_atom_site_fract_z
Pm1 0.0000 0.5000 0.2466
Hg1 0.0000 0.0000 0.5000
As1 0.0000 0.5000 0.8729
As2 0.5000 0.5000 0.5000
Rh1 0.0000 0.0000 0.0000
Rh2 0.0000 0.5000 0.6618
Rh3 0.5000 0.5000 0.0000